DFT (PBE) results for a geometry-optimized Pu2FeGe4Rh3 structure. Values from VASP.

## Properties
Calculated volume in Å³ per atom: 17.772
VASP energy in eV for the cell shown: -82.994
ΔE_f in eV/f.u.: -5.34
Density in Mg/m³: 10.7

Geometry as Quantum ESPRESSO input:
```
&SYSTEM
  ibrav = 0, nat = 10, ntyp = 4
/
ATOMIC_SPECIES
Fe 55.84 Fe.upf
Rh 102.91 Rh.upf
Ge 72.64 Ge.upf
Pu 244.00 Pu.upf
CELL_PARAMETERS angstrom
4.2277 0.0000 0.0000
0.0000 4.2277 0.0000
0.0000 0.0000 9.9431
ATOMIC_POSITIONS crystal
Fe 0.5000 0.5000 0.5000
Rh 0.0000 0.0000 0.5000
Rh 0.0000 0.5000 0.1293
Rh 0.5000 0.0000 0.8707
Ge 0.5000 0.5000 0.0000
Ge 0.0000 0.5000 0.3754
Ge 0.5000 0.0000 0.6246
Ge 0.0000 0.0000 0.0000
Pu 0.5000 0.0000 0.2546
Pu 0.0000 0.5000 0.7454
```